1.
# HfMn2Br

A geometry-optimized HfMn2Br structure (PBE, Alexandria via LeMat-Bulk).

Results
The calculation puts the formation energy from raw total energies at 0.839 eV per atom. Its electronic total energy is -6.65 eV per atom. The energy above the most stable polymorph in this dataset comes out at 342 meV/atom. The value obtained for the calculated density is 10.20 g cm⁻³.

```
data_HfMn2Br
_chemical_formula_sum 'Hf4 Mn8 Br4'
_symmetry_space_group_name_H-M 'F m -3 m'
_symmetry_Int_Tables_number 225
_symmetry_space_group_name_Hall '-F 4 2 3'
_cell_length_a 6.214
_cell_length_b 6.214
_cell_length_c 6.214
_cell_angle_alpha 90.00
_cell_angle_beta 90.00
_cell_angle_gamma 90.00
loop_
_atom_site_label
_atom_site_type_symbol
_atom_site_fract_x
_atom_site_fract_y
_atom_site_fract_z
Hf1 Hf 0.000 0.000 0.000
Mn1 Mn 0.250 0.250 0.250
Br1 Br 0.000 0.000 0.500
```



2.
# Li2CaTmHg4

A geometry-optimized Li2CaTmHg4 structure (PBE, Alexandria via LeMat-Bulk).

Results
Its electronic total energy is -1.86 eV per atom. The value obtained for the calculated density is 9.37 g cm⁻³. The value obtained for the formation energy is -0.422 eV per atom.

```
data_Li2CaTmHg4
_chemical_formula_sum 'Li6 Ca3 Tm3 Hg12'
_symmetry_space_group_name_H-M 'R -3 m'
_symmetry_Int_Tables_number 166
_symmetry_space_group_name_Hall '-R 3 2"'
_cell_length_a 5.0416
_cell_length_b 5.0416
_cell_length_c 24.7684
_cell_angle_alpha 90.00
_cell_angle_beta 90.00
_cell_angle_gamma 120.00
loop_
_atom_site_label
_atom_site_type_symbol
_atom_site_fract_x
_atom_site_fract_y
_atom_site_fract_z
Li1 Li 0.0000 0.0000 0.2487
Ca1 Ca 0.0000 0.0000 0.0000
Tm1 Tm 0.0000 0.0000 0.5000
Hg1 Hg 0.0000 0.0000 0.1283
Hg2 Hg 0.0000 0.0000 0.3786
```



In μB/f.u., the total moment values for the records above are, in order, 0.00; 0.00.